# Pm2Th4Rh9 GGA-PBE optimized geometry
data_Pm2Th4Rh9
_cell_length_a 4.655
_cell_length_b 4.655
_cell_length_c 17.307
_cell_angle_alpha 90.00
_cell_angle_beta 90.00
_cell_angle_gamma 120.00
_space_group_name_H-M_alt 'P 1'
_space_group_IT_number 1
loop_
_space_group_symop_operation_xyz
'x,y,z'
loop_
_atom_site_label
_atom_site_fract_x
_atom_site_fract_y
_atom_site_fract_z
Rh1 0.000 0.000 0.500
Rh2 0.333 0.667 0.933
Rh3 0.667 0.333 0.420
Rh4 0.000 0.000 0.333
Rh5 0.667 0.333 0.067
Rh6 0.000 0.000 0.667
Rh7 0.000 0.000 0.163
Rh8 0.000 0.000 0.837
Rh9 0.333 0.667 0.580
Th1 0.667 0.333 0.595
Th2 0.333 0.667 0.405
Th3 0.667 0.333 0.898
Th4 0.333 0.667 0.102
Pm1 0.333 0.667 0.751
Pm2 0.667 0.333 0.249
# Crystal system: trigonal
# Raw total energy, eV per atom: -7.77
# Space-group type: P-3m1